Material: SrYAl3
Method: DFT, PBE
State: relaxed

Magnetic moment (μB per formula unit): 0.00
DFT formation energy (meV per atom): 1053
ρ (g/cm³): 2.683
D(E_F) (states/eV/f.u.): 3.76
Raw total energy (eV per atom): -2.82

Cell: 5.4217 5.4217 5.4217 Å, 90.00 90.00 90.00°
Closest atoms and distances in Å follow each position.
Space group Pm-3m (No. 221)
Symmetry-distinct sites (fractional):
Sr 0.0000 0.0000 0.0000 (multiplicity 1)  6 Al 2.71
Y 0.5000 0.5000 0.5000 (multiplicity 1)  12 Al 3.83
Al 0.0000 0.0000 0.5000 (multiplicity 3)  2 Sr 2.71

=====

Material: Ta2CoP
Method: DFT, PBE
State: relaxed

Magnetic moment (μB per formula unit): 0.94
DFT formation energy (meV per atom): -127
ρ (g/cm³): 12.848
D(E_F) (states/eV/f.u.): 4.95
Raw total energy (eV per atom): -9.18

Cell: 6.1584 6.1584 6.1584 Å, 90.00 90.00 90.00°
Closest atoms and distances in Å follow each position.
Space group Fm-3m (No. 225)
Symmetry-distinct sites (fractional):
Ta 0.2500 0.2500 0.2500 (multiplicity 8)  4 Co 2.67, 4 P 2.67
Co 0.0000 0.0000 0.0000 (multiplicity 4)  8 Ta 2.67
P 0.0000 0.0000 0.5000 (multiplicity 4)  8 Ta 2.67